Crystalline Pm8TmSc4 at its relaxed geometry, computed with PBE.

a = 6.9813 Å, b = 6.9813 Å, c = 10.4882 Å
α = 90.00°, β = 109.44°, γ = 120.00°
Last column: nearest neighbours and their distance in Å.
Fractional coordinates of all 13 atoms:
Pm: 0.5771 0.7886 0.3657  9 Pm 3.60-3.97
Pm: 0.4229 0.2114 0.6343  9 Pm 3.60-3.97
Pm: 0.4966 0.2483 0.2743  1 Tm 3.05, 3 Sc 3.26-3.37, 2 Pm 3.29
Pm: 0.9740 0.2224 0.7257  1 Tm 3.05, 3 Sc 3.26-3.37, 2 Pm 3.29
Pm: 0.5034 0.7517 0.7257  1 Tm 3.05, 3 Sc 3.26-3.37, 2 Pm 3.29
Pm: 0.9740 0.7517 0.7257  1 Tm 3.05, 3 Sc 3.26-3.37, 2 Pm 3.29
Pm: 0.0260 0.2483 0.2743  1 Tm 3.05, 3 Sc 3.26-3.37, 2 Pm 3.29
Pm: 0.0260 0.7776 0.2743  1 Tm 3.05, 3 Sc 3.26-3.37, 2 Pm 3.29
Tm: 0.0000 0.5000 0.5000  6 Pm 3.05
Sc: 0.0000 0.0000 0.0000  6 Pm 3.26, 6 Sc 3.49
Sc: 0.0000 0.5000 0.0000  4 Pm 3.37, 6 Sc 3.49
Sc: 0.5000 0.5000 0.0000  4 Pm 3.37, 6 Sc 3.49
Sc: 0.5000 0.0000 0.0000  4 Pm 3.37, 6 Sc 3.49

Summary:
Size of the total moment, μB/f.u.: 0.00
Space group: R-3m
Formation energy, meV/atom: 242


Crystalline Rb2YBr7 at its relaxed geometry, computed with PBE.

a = 8.9349 Å, b = 8.9349 Å, c = 8.3082 Å
α = 57.47°, β = 57.47°, γ = 90.00°
Last column: nearest neighbours and their distance in Å.
Fractional coordinates of all 10 atoms:
Y: 0.0000 0.0000 0.0000  6 Br 2.76-2.88
Br: 0.5000 0.5000 0.0000  2 Br 2.52
Br: 0.2668 0.2668 0.4663  1 Br 2.52
Br: 0.7332 0.7332 0.5337  1 Br 2.52
Br: 0.2183 0.2183 0.0000  1 Y 2.76
Br: 0.7817 0.7817 0.0000  1 Y 2.76
Br: 0.7817 0.2183 0.0000  1 Y 2.76
Br: 0.2183 0.7817 0.0000  1 Y 2.76
Rb: 0.7500 0.2500 0.5000  12 Br 4.17-4.47
Rb: 0.2500 0.7500 0.5000  12 Br 4.17-4.47

Summary:
Formation energy without anion corrections, eV per atom: -1.344
Size of the total moment, μB/f.u.: 0.00
Space group: I4/mmm


Crystalline MgMn2Si at its relaxed geometry, computed with PBE.

a = 4.9058 Å, b = 4.9058 Å, c = 4.1061 Å
α = 65.23°, β = 65.23°, γ = 34.80°
Last column: nearest neighbours and their distance in Å.
Fractional coordinates of all 4 atoms:
Mg: 0.2554 0.2554 0.2448  6 Mn 2.52-2.65, 4 Si 2.73-2.80
Mn: 0.0182 0.0182 0.9817  2 Mn 2.41, 4 Si 2.54, 2 Mg 2.65
Mn: 0.7452 0.7452 0.7550  2 Mn 2.41, 2 Si 2.47, 4 Mg 2.52
Si: 0.4812 0.4812 0.5186  6 Mn 2.47-2.54, 2 Mg 2.73

Summary:
Formation energy without anion corrections, eV per atom: 0.087
Size of the total moment, μB/f.u.: 1.50
Space group: Imm2


Crystalline Cs2Cd15Hg2 at its relaxed geometry, computed with PBE.

a = 8.0527 Å, b = 8.0527 Å, c = 8.0527 Å
α = 83.63°, β = 83.63°, γ = 83.63°
Last column: nearest neighbours and their distance in Å.
Fractional coordinates of all 19 atoms:
Cs: 0.3437 0.3437 0.3437  1 Hg 3.74, 18 Cd 3.81-4.13
Cs: 0.6563 0.6563 0.6563  1 Hg 3.74, 18 Cd 3.81-4.13
Cd: 0.5000 0.0000 0.0000  8 Cd 3.04-3.10, 2 Hg 3.26
Cd: 0.0000 0.0000 0.5000  8 Cd 3.04-3.10, 2 Hg 3.26
Cd: 0.0000 0.5000 0.0000  8 Cd 3.04-3.10, 2 Hg 3.26
Cd: 0.0000 0.7070 0.2930  8 Cd 3.04-3.23
Cd: 0.7070 0.2930 0.0000  8 Cd 3.04-3.23
Cd: 0.2930 0.0000 0.7070  8 Cd 3.04-3.23
Cd: 0.2930 0.7070 0.0000  8 Cd 3.04-3.23
Cd: 0.7070 0.0000 0.2930  8 Cd 3.04-3.23
Cd: 0.0000 0.2930 0.7070  8 Cd 3.04-3.23
Cd: 0.1503 0.6531 0.6531  8 Cd 3.10-3.23, 1 Hg 3.32
Cd: 0.6531 0.6531 0.1503  8 Cd 3.10-3.23, 1 Hg 3.32
Cd: 0.6531 0.1503 0.6531  8 Cd 3.10-3.23, 1 Hg 3.32
Cd: 0.8497 0.3469 0.3469  8 Cd 3.10-3.23, 1 Hg 3.32
Cd: 0.3469 0.3469 0.8497  8 Cd 3.10-3.23, 1 Hg 3.32
Cd: 0.3469 0.8497 0.3469  8 Cd 3.10-3.23, 1 Hg 3.32
Hg: 0.1008 0.1008 0.1008  1 Hg 3.11, 6 Cd 3.26-3.32
Hg: 0.8992 0.8992 0.8992  1 Hg 3.11, 6 Cd 3.26-3.32

Summary:
Size of the total moment, μB/f.u.: 0.00
Space group: R-3m
Formation energy, meV/atom: -38


Crystalline PmPaPd at its relaxed geometry, computed with PBE.

a = 3.6608 Å, b = 3.6608 Å, c = 6.2570 Å
α = 107.01°, β = 107.01°, γ = 90.00°
Last column: nearest neighbours and their distance in Å.
Fractional coordinates of all 3 atoms:
Pa: 0.5854 0.5854 0.1707  4 Pd 2.87
Pd: 0.9771 0.9771 0.9543  4 Pa 2.87
Pm: 0.2875 0.2875 0.5750  5 Pd 3.37-3.54, 5 Pa 3.39-3.46, 4 Pm 3.66

Summary:
Size of the total moment, μB/f.u.: 0.00
Space group: I4mm
Formation energy, meV/atom: -261


Crystalline CsZn2InGe at its relaxed geometry, computed with PBE.

a = 5.6003 Å, b = 5.3715 Å, c = 5.6003 Å
α = 90.00°, β = 90.00°, γ = 90.00°
Last column: nearest neighbours and their distance in Å.
Fractional coordinates of all 5 atoms:
Cs: 0.5000 0.5000 0.5000  8 Zn 3.88, 4 Ge 3.96
Ge: 0.0000 0.5000 0.0000  2 In 2.69
Zn: 0.0000 0.0000 0.5000  2 In 2.80
Zn: 0.5000 0.0000 0.0000  2 In 2.80
In: 0.0000 0.0000 0.0000  2 Ge 2.69, 4 Zn 2.80

Summary:
Size of the total moment, μB/f.u.: 0.00
Space group: P4/mmm
Formation energy, meV/atom: 346


Crystalline FeCu2Hg at its relaxed geometry, computed with PBE.

a = 4.6595 Å, b = 4.6595 Å, c = 4.6595 Å
α = 130.11°, β = 130.11°, γ = 73.24°
Last column: nearest neighbours and their distance in Å.
Fractional coordinates of all 4 atoms:
Cu: 0.0000 0.0000 0.0000  4 Hg 2.71, 4 Cu 2.71, 4 Fe 2.78
Cu: 0.2500 0.7500 0.5000  4 Cu 2.71, 4 Fe 2.71, 4 Hg 2.78
Fe: 0.5000 0.5000 0.0000  8 Cu 2.71-2.78, 4 Hg 2.71
Hg: 0.7500 0.2500 0.5000  4 Fe 2.71, 8 Cu 2.71-2.78

Summary:
Offset from the most stable computed form, meV/atom: 59
Size of the total moment, μB/f.u.: 2.75
Space group: I-4m2
Formation energy, meV/atom: 321


Crystalline Sr3NpPa2N6 at its relaxed geometry, computed with PBE.

a = 6.2461 Å, b = 6.2461 Å, c = 6.3495 Å
α = 99.45°, β = 99.45°, γ = 119.99°
Last column: nearest neighbours and their distance in Å.
Fractional coordinates of all 12 atoms:
Sr: 0.1654 0.8346 0.5000  6 N 2.75-2.79
Sr: 0.8346 0.1654 0.5000  6 N 2.75-2.79
Sr: 0.5000 0.5000 0.5000  6 N 2.74-2.79
Np: 0.0000 0.0000 0.0000  6 N 2.42-2.43
Pa: 0.3332 0.6668 0.0000  6 N 2.37
Pa: 0.6668 0.3332 0.0000  6 N 2.37
N: 0.9350 0.5952 0.8047  2 Pa 2.37, 1 Np 2.42
N: 0.7250 0.7250 0.1951  2 Pa 2.37, 1 Np 2.43
N: 0.0650 0.4048 0.1953  2 Pa 2.37, 1 Np 2.42
N: 0.5952 0.9350 0.8047  2 Pa 2.37, 1 Np 2.42
N: 0.2750 0.2750 0.8049  2 Pa 2.37, 1 Np 2.43
N: 0.4048 0.0650 0.1953  2 Pa 2.37, 1 Np 2.42

Summary:
Formation energy without anion corrections, eV per atom: -1.237
Size of the total moment, μB/f.u.: 4.43
Space group: C2/m


Crystalline ScTaMo2 at its relaxed geometry, computed with PBE.

a = 4.4660 Å, b = 2.8357 Å, c = 5.5781 Å
α = 81.63°, β = 90.00°, γ = 90.00°
Last column: nearest neighbours and their distance in Å.
Fractional coordinates of all 4 atoms:
Mo: 0.0000 0.9875 0.9947  2 Ta 2.75, 2 Sc 2.81, 4 Mo 2.84-2.97
Mo: 0.0000 0.5125 0.5053  2 Ta 2.75, 2 Sc 2.81, 4 Mo 2.84-2.97
Sc: 0.5000 0.2500 0.2500  4 Mo 2.81, 2 Sc 2.84, 2 Ta 2.94
Ta: 0.5000 0.7500 0.7500  4 Mo 2.75, 2 Ta 2.84, 2 Sc 2.94

Summary:
Offset from the most stable computed form, meV/atom: 66
Size of the total moment, μB/f.u.: 0.00
Space group: P2/m
Formation energy, meV/atom: 77


no.,raw total energy (eV per atom)
1,-4.973
2,-3.355
3,-6.252
4,-0.882
5,-6.741
6,-1.805
7,-3.918
8,-8.482
9,-9.884